(1)
VASP calculation (PBE-GGA) on a relaxed structure of RbSnAs2Se.

Summary:
As for the energy above the most stable polymorph in this dataset: 109.3 kJ per mole of atoms. The calculation puts the volume at 35.4 Å³ per atom. Its uncorrected formation energy is 1.304 eV/atom. Its total magnetization is 0.300 μB/f.u.

Cell lengths 5.5519, 5.5519, 5.7451 Å; angles 90.00, 90.00, 90.00 degrees
With the nearest neighbours (Å) after each atom.
Atoms (fractional coordinates):
1 Rb 0.0000 0.0000 0.0000  4 As 2.78, 2 Se 2.87
2 Sn 0.5000 0.5000 0.5000  4 Se 3.93, 8 As 3.99
3 As 0.0000 0.5000 0.0000  2 Rb 2.78
4 As 0.5000 0.0000 0.0000  2 Rb 2.78
5 Se 0.0000 0.0000 0.5000  2 Rb 2.87



(2)
VASP calculation (PBE-GGA) on a relaxed structure of RbSn2AsSe6.

Summary:
The calculation puts the volume at 32.3 Å³ per atom. Its uncorrected formation energy is -0.408 eV/atom. Its total magnetization is 0.000 μB/f.u.

Cell lengths 9.8233, 9.8233, 7.8007 Å; angles 111.74, 111.74, 77.16 degrees
With the nearest neighbours (Å) after each atom.
Atoms (fractional coordinates):
1 Rb 0.2077 0.7923 0.7500  4 Se 3.35-3.48
2 Rb 0.7923 0.2077 0.2500  4 Se 3.35-3.48
3 Sn 0.1313 0.3276 0.0599  5 Se 2.60-2.89
4 Sn 0.3276 0.1313 0.5599  5 Se 2.60-2.89
5 Sn 0.6724 0.8687 0.4401  5 Se 2.60-2.89
6 Sn 0.8687 0.6724 0.9401  5 Se 2.60-2.89
7 As 0.3046 0.6954 0.2500  4 Se 2.48-2.76
8 As 0.6954 0.3046 0.7500  4 Se 2.48-2.76
9 Se 0.1076 0.1451 0.7111  2 Sn 2.60-2.78
10 Se 0.1220 0.5474 0.8907  2 Sn 2.62-2.89, 1 As 2.76
11 Se 0.1451 0.1076 0.2111  2 Sn 2.60-2.78
12 Se 0.3366 0.4777 0.3556  1 As 2.48, 1 Sn 2.63
13 Se 0.4526 0.8780 0.6093  2 Sn 2.62-2.89, 1 As 2.76
14 Se 0.4777 0.3366 0.8556  1 As 2.48, 1 Sn 2.63
15 Se 0.5223 0.6634 0.1444  1 As 2.48, 1 Sn 2.63
16 Se 0.5474 0.1220 0.3907  2 Sn 2.62-2.89, 1 As 2.76
17 Se 0.6634 0.5223 0.6444  1 As 2.48, 1 Sn 2.63
18 Se 0.8549 0.8924 0.7889  2 Sn 2.60-2.78
19 Se 0.8780 0.4526 0.1093  2 Sn 2.62-2.89, 1 As 2.76
20 Se 0.8924 0.8549 0.2889  2 Sn 2.60-2.78



(3)
VASP calculation (PBE-GGA) on a relaxed structure of RbSnAs2Se.

Summary:
As for the energy above the most stable polymorph in this dataset: 0.0 kJ per mole of atoms. The calculation puts the volume at 32.7 Å³ per atom. Its uncorrected formation energy is 0.171 eV/atom. Its total magnetization is 1.722 μB/f.u.

Cell lengths 5.4025, 5.4025, 5.6001 Å; angles 90.00, 90.00, 90.00 degrees
With the nearest neighbours (Å) after each atom.
Atoms (fractional coordinates):
1 Rb 0.0000 0.0000 0.0000  4 Se 3.82, 8 As 3.89
2 Sn 0.5000 0.5000 0.5000  4 As 2.70, 2 Se 2.80
3 As 0.0000 0.5000 0.5000  2 Sn 2.70
4 As 0.5000 0.0000 0.5000  2 Sn 2.70
5 Se 0.5000 0.5000 0.0000  2 Sn 2.80



(4)
VASP calculation (PBE-GGA) on a relaxed structure of RbSrAsSe2.

Summary:
As for the energy above the most stable polymorph in this dataset: 53.0 kJ per mole of atoms. The calculation puts the volume at 36.9 Å³ per atom. Its uncorrected formation energy is 0.262 eV/atom. Its total magnetization is 0.000 μB/f.u.

Cell lengths 5.7955, 5.7955, 5.4904 Å; angles 90.00, 90.00, 90.00 degrees
With the nearest neighbours (Å) after each atom.
Atoms (fractional coordinates):
1 Rb 0.0000 0.0000 0.0000  2 As 2.75, 4 Se 2.90
2 Sr 0.5000 0.5000 0.5000  8 Se 3.99, 4 As 4.10
3 As 0.0000 0.0000 0.5000  2 Rb 2.75
4 Se 0.0000 0.5000 0.0000  2 Rb 2.90
5 Se 0.5000 0.0000 0.0000  2 Rb 2.90